Material: NaHgBiSb
Method: DFT, PBE-GGA
State: optimized geometry

Unit cell a=5.446 b=5.446 c=5.446 alpha=60.00 beta=60.00 gamma=60.00
Atoms (fractional coordinates):
Sb 0.250 0.250 0.250
Bi 0.500 0.500 0.500
Hg 0.750 0.750 0.750
Na 0.000 0.000 0.000

Output
The density of states at the Fermi level is 2.69 states/eV/cell. The polymorph energy (0 for the lowest one) comes out at 0.0101 eV per atom. As for the uncorrected formation energy: -78 meV per atom.

***

Material: Na2HgBi2Sb2
Method: DFT, PBE-GGA
State: optimized geometry

Unit cell a=4.200 b=8.422 c=8.668 alpha=50.44 beta=75.98 gamma=75.56
Atoms (fractional coordinates):
Na 0.436 0.768 0.359
Na 0.564 0.232 0.641
Sb 0.141 0.482 0.236
Sb 0.859 0.518 0.764
Hg 0.000 0.000 0.000
Bi 0.223 0.784 0.769
Bi 0.777 0.216 0.231

Output
The density of states at the Fermi level is 2.48 states/eV/cell. As for the uncorrected formation energy: -92 meV per atom.